(1)
# Hf2Al8Pd (GGA-PBE, relaxed)
# Total magnetic moment   0.00 μB/atom
# DFT total energy   -59.7 eV/cell
# DOS(E_F)   0.456 states/eV/atom
# Formation energy   -424 meV/atom
data_Hf2Al8Pd
_cell_length_a 4.1835
_cell_length_b 4.1835
_cell_length_c 10.8320
_cell_angle_alpha 90.00
_cell_angle_beta 90.00
_cell_angle_gamma 90.00
_space_group_name_H-M_alt 'P 4/m m m'
_space_group_IT_number 123
_space_group_name_Hall '-P 4 2'
loop_
_atom_site_label
_atom_site_type_symbol
_atom_site_fract_x
_atom_site_fract_y
_atom_site_fract_z
_atom_site_occupancy
Hf1 Hf 0.0000 0.0000 0.1831 1
Al1 Al 0.0000 0.5000 0.0000 1
Al2 Al 0.0000 0.5000 0.3670 1
Al3 Al 0.5000 0.5000 0.1879 1
Pd1 Pd 0.0000 0.0000 0.5000 1

***

(2)
# HfAl2Pd8 (GGA-PBE, relaxed)
# Polymorph energy (0 for the lowest one)   0 meV per atom
# Total magnetic moment   0.00 μB/atom
# DFT total energy   -133.9 eV/cell
# DOS(E_F)   0.315 states/eV/atom
# Formation energy   -727 meV/atom
data_HfAl2Pd8
_cell_length_a 4.0374
_cell_length_b 6.9622
_cell_length_c 12.3764
_cell_angle_alpha 90.00
_cell_angle_beta 90.00
_cell_angle_gamma 90.00
_space_group_name_H-M_alt 'I m m m'
_space_group_IT_number 71
_space_group_name_Hall '-I 2 2'
loop_
_atom_site_label
_atom_site_type_symbol
_atom_site_fract_x
_atom_site_fract_y
_atom_site_fract_z
_atom_site_occupancy
Hf1 Hf 0.0000 0.0000 0.0000 1
Al1 Al 0.0000 0.0000 0.3134 1
Pd1 Pd 0.0000 0.1995 0.5000 1
Pd2 Pd 0.0000 0.2806 0.1645 1
Pd3 Pd 0.0000 0.5000 0.3514 1

***

(3)
# Hf3Al7Pd2 (GGA-PBE, relaxed)
# Total magnetic moment   0.00 μB/atom
# DFT total energy   -220.4 eV/cell
# DOS(E_F)   0.386 states/eV/atom
# Formation energy   -586 meV/atom
data_Hf3Al7Pd2
_cell_length_a 5.2881
_cell_length_b 5.2881
_cell_length_c 25.0070
_cell_angle_alpha 90.00
_cell_angle_beta 90.00
_cell_angle_gamma 120.00
_space_group_name_H-M_alt 'R -3 m'
_space_group_IT_number 166
_space_group_name_Hall '-R 3 2"'
loop_
_atom_site_label
_atom_site_type_symbol
_atom_site_fract_x
_atom_site_fract_y
_atom_site_fract_z
_atom_site_occupancy
Hf1 Hf 0.0000 0.0000 0.0000 1
Hf2 Hf 0.0000 0.0000 0.1443 1
Al1 Al 0.0000 0.0000 0.5000 1
Al2 Al 0.0066 0.5033 0.9169 1
Pd1 Pd 0.0000 0.0000 0.3345 1

***

(4)
# HfAl2Pd8 (GGA-PBE, relaxed)
# Polymorph energy (0 for the lowest one)   19 meV per atom
# Total magnetic moment   0.00 μB/atom
# DFT total energy   -133.5 eV/cell
# DOS(E_F)   0.425 states/eV/atom
# Formation energy   -708 meV/atom
data_HfAl2Pd8
_cell_length_a 13.8612
_cell_length_b 4.1099
_cell_length_c 6.4228
_cell_angle_alpha 90.00
_cell_angle_beta 111.42
_cell_angle_gamma 90.00
_space_group_name_H-M_alt 'C 1 2/m 1'
_space_group_IT_number 12
loop_
_space_group_symop_operation_xyz
'x,y,z'
'-x,-y,-z'
'-x,y,-z'
'x,-y,z'
'x+1/2,y+1/2,z'
'-x+1/2,-y+1/2,-z'
'-x+1/2,y+1/2,-z'
'x+1/2,-y+1/2,z'
loop_
_atom_site_label
_atom_site_type_symbol
_atom_site_fract_x
_atom_site_fract_y
_atom_site_fract_z
_atom_site_occupancy
Hf1 Hf 0.0000 0.0000 0.0000 1
Al1 Al 0.2154 0.5000 0.6568 1
Pd1 Pd 0.0395 0.5000 0.7284 1
Pd2 Pd 0.1090 0.0000 0.4675 1
Pd3 Pd 0.1529 0.5000 0.2148 1
Pd4 Pd 0.1793 0.0000 0.9311 1

***

Repeat the first record exactly.
# Hf2Al8Pd (GGA-PBE, relaxed)
# Total magnetic moment   0.00 μB/atom
# DFT total energy   -59.7 eV/cell
# DOS(E_F)   0.456 states/eV/atom
# Formation energy   -424 meV/atom
data_Hf2Al8Pd
_cell_length_a 4.1835
_cell_length_b 4.1835
_cell_length_c 10.8320
_cell_angle_alpha 90.00
_cell_angle_beta 90.00
_cell_angle_gamma 90.00
_space_group_name_H-M_alt 'P 4/m m m'
_space_group_IT_number 123
_space_group_name_Hall '-P 4 2'
loop_
_atom_site_label
_atom_site_type_symbol
_atom_site_fract_x
_atom_site_fract_y
_atom_site_fract_z
_atom_site_occupancy
Hf1 Hf 0.0000 0.0000 0.1831 1
Al1 Al 0.0000 0.5000 0.0000 1
Al2 Al 0.0000 0.5000 0.3670 1
Al3 Al 0.5000 0.5000 0.1879 1
Pd1 Pd 0.0000 0.0000 0.5000 1

***

What is the formula in the fourth record? HfAl2Pd8